A plane-wave DFT calculation with PBE+U was carried out for a relaxed structure of Mn6Pb4F19.

Results
energy = -5.727 eV per atom

Lattice parameters (Å, degrees): 8.4790 8.4790 8.4790 109.47 109.47 109.47
Last column: nearest neighbours and their distance in Å.
Element x y z (fractional)
Mn (0.3330, 0.5000, 0.8330)  6 F 2.12-2.17
Mn (0.6670, 0.5000, 0.1670)  6 F 2.12-2.17
Mn (0.1670, 0.6670, 0.5000)  6 F 2.12-2.17
Mn (0.8330, 0.3330, 0.5000)  6 F 2.12-2.17
Mn (0.5000, 0.8330, 0.3330)  6 F 2.12-2.17
Mn (0.5000, 0.1670, 0.6670)  6 F 2.12-2.17
Pb (0.0000, 0.0000, 0.6928)  4 F 2.53-2.60
Pb (0.0000, 0.6928, 0.0000)  4 F 2.53-2.60
Pb (0.3072, 0.3072, 0.3072)  4 F 2.53-2.60
Pb (0.6928, 0.0000, 0.0000)  4 F 2.53-2.60
F (0.6456, 0.0000, 0.6456)  2 Mn 2.17
F (0.3544, 0.0000, 0.3544)  2 Mn 2.17
F (0.3544, 0.3544, 0.0000)  2 Mn 2.17
F (0.6456, 0.6456, 0.0000)  2 Mn 2.17
F (0.0000, 0.6456, 0.6456)  2 Mn 2.17
F (0.0000, 0.3544, 0.3544)  2 Mn 2.17
F (0.0000, 0.0000, 0.0000)  4 Pb 2.60
F (0.3175, 0.2855, 0.6005)  2 Mn 2.12-2.13
F (0.6825, 0.2829, 0.9680)  2 Mn 2.12-2.13
F (0.6851, 0.7171, 0.3995)  2 Mn 2.12-2.13
F (0.9680, 0.6825, 0.2829)  2 Mn 2.12-2.13
F (0.3149, 0.7145, 0.0320)  2 Mn 2.12-2.13
F (0.6005, 0.3175, 0.2855)  2 Mn 2.12-2.13
F (0.0320, 0.3149, 0.7145)  2 Mn 2.12-2.13
F (0.3995, 0.6851, 0.7171)  2 Mn 2.12-2.13
F (0.7145, 0.0320, 0.3149)  2 Mn 2.12-2.13
F (0.2829, 0.9680, 0.6825)  2 Mn 2.12-2.13
F (0.2855, 0.6005, 0.3175)  2 Mn 2.12-2.13
F (0.7171, 0.3995, 0.6851)  2 Mn 2.12-2.13